# 1
# NaSiAu3 (PBE, optimized geometry)
data_NaSiAu3
_chemical_formula_sum 'Na2 Si2 Au6'
_symmetry_space_group_name_H-M 'C m m m'
_symmetry_Int_Tables_number 65
_symmetry_space_group_name_Hall '-C 2 2'
_cell_length_a 6.118
_cell_length_b 7.608
_cell_length_c 4.828
_cell_angle_alpha 90.00
_cell_angle_beta 90.00
_cell_angle_gamma 90.00
loop_
_atom_site_label
_atom_site_fract_x
_atom_site_fract_y
_atom_site_fract_z
_atom_site_occupancy
Na1 0.000 0.000 0.000 1
Si1 0.000 0.500 0.500 1
Au1 0.000 0.500 0.000 1
Au2 0.250 0.250 0.500 1
# Uncorrected energy = -3.466 eV per atom


# 2
# NaSiAu2 (PBE, optimized geometry)
data_NaSiAu2
_chemical_formula_sum 'Na3 Si3 Au6'
_symmetry_space_group_name_H-M 'R 3 m'
_symmetry_Int_Tables_number 160
_symmetry_space_group_name_Hall 'R 3 -2"'
_cell_length_a 4.3376
_cell_length_b 4.3376
_cell_length_c 15.9167
_cell_angle_alpha 90.00
_cell_angle_beta 90.00
_cell_angle_gamma 120.00
loop_
_atom_site_label
_atom_site_fract_x
_atom_site_fract_y
_atom_site_fract_z
_atom_site_occupancy
Na1 0.0000 0.0000 0.0000 1
Si1 0.0000 0.0000 0.1884 1
Au1 0.0000 0.0000 0.5475 1
Au2 0.0000 0.0000 0.7982 1
# Uncorrected energy = -3.413 eV per atom


# 3
# NaSiAu3 (PBE, optimized geometry)
data_NaSiAu3
_chemical_formula_sum 'Na8 Si8 Au24'
_symmetry_space_group_name_H-M 'P a -3'
_symmetry_Int_Tables_number 205
_symmetry_space_group_name_Hall '-P 2ac 2ab 3'
_cell_length_a 9.057
_cell_length_b 9.057
_cell_length_c 9.057
_cell_angle_alpha 90.00
_cell_angle_beta 90.00
_cell_angle_gamma 90.00
loop_
_atom_site_label
_atom_site_fract_x
_atom_site_fract_y
_atom_site_fract_z
_atom_site_occupancy
Na1 0.097 0.097 0.097 1
Si1 0.124 0.624 0.876 1
Au1 0.094 0.727 0.129 1
# Uncorrected energy = -3.585 eV per atom


# 4
# Na2SiAu (PBE, optimized geometry)
data_Na2SiAu
_chemical_formula_sum 'Na8 Si4 Au4'
_symmetry_space_group_name_H-M 'C m c m'
_symmetry_Int_Tables_number 63
_symmetry_space_group_name_Hall '-C 2c 2'
_cell_length_a 9.110
_cell_length_b 7.471
_cell_length_c 5.133
_cell_angle_alpha 90.00
_cell_angle_beta 90.00
_cell_angle_gamma 90.00
loop_
_atom_site_label
_atom_site_fract_x
_atom_site_fract_y
_atom_site_fract_z
_atom_site_occupancy
Na1 0.179 0.147 0.250 1
Si1 0.000 0.500 0.000 1
Au1 0.000 0.200 0.750 1
# Uncorrected energy = -2.944 eV per atom


# 5
# NaSiAu2 (PBE, optimized geometry)
data_NaSiAu2
_chemical_formula_sum 'Na4 Si4 Au8'
_symmetry_space_group_name_H-M 'I 41/a m d'
_symmetry_Int_Tables_number 141
_cell_length_a 5.374
_cell_length_b 5.374
_cell_length_c 15.972
_cell_angle_alpha 90.00
_cell_angle_beta 90.00
_cell_angle_gamma 90.00
loop_
_symmetry_equiv_pos_as_xyz
'x,y,z'
'-x,-y,-z'
'-y+1/4,x+3/4,z+1/4'
'y+1/4,-x+3/4,-z+1/4'
'-x+1/2,-y,z+1/2'
'x+1/2,y,-z+1/2'
'y+1/4,-x+1/4,z+3/4'
'-y+1/4,x+1/4,-z+3/4'
'x,-y,-z'
'-x,y,z'
'-y+1/4,-x+1/4,-z+3/4'
'y+1/4,x+1/4,z+3/4'
'-x+1/2,y,-z+1/2'
'x+1/2,-y,z+1/2'
'y+1/4,x+3/4,-z+1/4'
'-y+1/4,-x+3/4,z+1/4'
'x+1/2,y+1/2,z+1/2'
'-x+1/2,-y+1/2,-z+1/2'
'-y+3/4,x+1/4,z+3/4'
'y+3/4,-x+1/4,-z+3/4'
'-x,-y+1/2,z'
'x,y+1/2,-z'
'y+3/4,-x+3/4,z+1/4'
'-y+3/4,x+3/4,-z+1/4'
'x+1/2,-y+1/2,-z+1/2'
'-x+1/2,y+1/2,z+1/2'
'-y+3/4,-x+3/4,-z+1/4'
'y+3/4,x+3/4,z+1/4'
'-x,y+1/2,-z'
'x,-y+1/2,z'
'y+3/4,x+1/4,-z+3/4'
'-y+3/4,-x+1/4,z+3/4'
loop_
_atom_site_label
_atom_site_fract_x
_atom_site_fract_y
_atom_site_fract_z
_atom_site_occupancy
Na1 0.000 0.250 0.375 1
Si1 0.000 0.250 0.875 1
Au1 0.000 0.000 0.000 1
# Uncorrected energy = -3.376 eV per atom


# 6
# Na2SiAu6 (PBE, optimized geometry)
data_Na2SiAu6
_chemical_formula_sum 'Na4 Si2 Au12'
_symmetry_space_group_name_H-M 'C 1 2/m 1'
_symmetry_Int_Tables_number 12
_cell_length_a 10.335
_cell_length_b 5.829
_cell_length_c 6.100
_cell_angle_alpha 90.00
_cell_angle_beta 103.69
_cell_angle_gamma 90.00
loop_
_symmetry_equiv_pos_as_xyz
'x,y,z'
'-x,-y,-z'
'-x,y,-z'
'x,-y,z'
'x+1/2,y+1/2,z'
'-x+1/2,-y+1/2,-z'
'-x+1/2,y+1/2,-z'
'x+1/2,-y+1/2,z'
loop_
_atom_site_label
_atom_site_fract_x
_atom_site_fract_y
_atom_site_fract_z
_atom_site_occupancy
Na1 0.138 0.000 0.347 1
Si1 0.000 0.500 0.500 1
Au1 0.126 0.500 0.209 1
Au2 0.136 0.244 0.802 1
# Uncorrected energy = -3.310 eV per atom


| no. | formation energy (no corrections) (eV/atom) |
| --- | --- |
| 1 | -0.151 |
| 2 | -0.088 |
| 3 | -0.270 |
| 4 | -0.109 |
| 5 | -0.052 |
| 6 | -0.229 |